An optimized crystal structure of TbPrCI, computed with PBE-GGA.

abc: 3.8384 3.8384 23.0532
angles: 90.00 90.00 120.00
Space group R3m (No. 160, hexagonal axes)
Unique sites:
Tb 0.0000 0.0000 0.0000
Pr 0.0000 0.0000 0.7820
C 0.0000 0.0000 0.3851
I 0.0000 0.0000 0.5621

formation energy (no corrections) = -0.709 eV per atom